[1]
NpCuPbSe3: optimized geometry, GGA-PBE. Values from VASP.

Properties
Magnetic moment: 0.667 μB per atom
Space group: P2_1/m (11)
Formation energy without anion corrections: -678.8 meV per atom
DOS at the Fermi energy: 11.65 states/eV/f.u.

Quantum ESPRESSO input file:
```
&SYSTEM
  ibrav = 0, nat = 12, ntyp = 4
/
ATOMIC_SPECIES
Pb 207.20 Pb.upf
Se 78.96 Se.upf
Cu 63.55 Cu.upf
Np 237.00 Np.upf
ATOMIC_POSITIONS crystal
Pb 0.250 0.189 0.232
Se 0.750 0.219 0.508
Se 0.250 0.100 0.861
Se 0.250 0.781 0.492
Pb 0.750 0.811 0.768
Se 0.750 0.440 0.165
Cu 0.750 0.920 0.423
Se 0.250 0.560 0.835
Np 0.750 0.325 0.834
Np 0.250 0.675 0.166
Cu 0.250 0.080 0.577
Se 0.750 0.900 0.139
CELL_PARAMETERS angstrom
-0.265 -3.251 -2.479
8.428 0.820 -1.974
-0.034 -5.473 7.179
```

---

[2]
Dy3NbN4: optimized geometry, GGA-PBE. Values from VASP.

Properties
Magnetic moment: 0.000 μB per atom
Space group: Cmmm (65)
Formation energy without anion corrections: -1514.3 meV per atom
DOS at the Fermi energy: 2.17 states/eV/f.u.

Quantum ESPRESSO input file:
```
&SYSTEM
  ibrav = 0, nat = 8, ntyp = 3
/
ATOMIC_SPECIES
Nb 92.91 Nb.upf
N 14.01 N.upf
Dy 162.50 Dy.upf
ATOMIC_POSITIONS crystal
Nb 0.500 0.000 0.000
N 0.500 0.762 0.238
Dy 0.500 0.500 0.500
N 0.500 0.238 0.762
N 0.000 0.766 0.766
Dy 0.000 0.500 0.000
Dy 0.000 0.000 0.500
N 0.000 0.234 0.234
CELL_PARAMETERS angstrom
-2.952 -0.194 -1.588
2.612 1.391 -5.027
0.041 -5.798 0.634
```

---

[3]
Ag2Pb3Br8: optimized geometry, GGA-PBE. Values from VASP.

Properties
Magnetic moment: 0.000 μB per atom
Space group: C2/m (12)
Formation energy without anion corrections: -731.1 meV per atom
DOS at the Fermi energy: 0.00 states/eV/f.u.

Quantum ESPRESSO input file:
```
&SYSTEM
  ibrav = 0, nat = 13, ntyp = 3
/
ATOMIC_SPECIES
Br 79.90 Br.upf
Pb 207.20 Pb.upf
Ag 107.87 Ag.upf
ATOMIC_POSITIONS crystal
Br 0.755 0.882 0.253
Br 0.245 0.629 0.747
Br 0.245 0.118 0.747
Br 0.254 0.128 0.256
Pb 0.000 0.746 0.000
Br 0.746 0.872 0.744
Ag 0.578 0.619 0.237
Ag 0.422 0.381 0.763
Br 0.758 0.372 0.743
Br 0.242 0.628 0.257
Br 0.755 0.371 0.253
Pb 0.000 0.254 0.000
Pb 0.500 0.000 0.000
CELL_PARAMETERS angstrom
-7.578 -0.753 1.536
0.739 -8.934 -0.735
3.528 4.301 6.304
```